(1)
# Cs2CeMnS4

A relaxed Cs2CeMnS4 crystal (PBE, Alexandria via LeMat-Bulk).

abc: 8.2109 8.2109 8.5033
angles: 109.52 109.52 91.05
Sites, in units of the cell vectors:
Cs  0.0000  0.0000  0.0000
Cs  0.0000  0.0000  0.5000
Cs  0.0000  0.5000  0.0000
Cs  0.5000  0.0000  0.5000
Ce  0.5000  0.5000  0.0000
Ce  0.5000  0.5000  0.5000
Mn  0.0000  0.5000  0.5000
Mn  0.5000  0.0000  0.0000
S  0.2014  0.6585  0.4449
S  0.2751  0.3635  0.6354
S  0.3415  0.7986  0.0551
S  0.3635  0.2751  0.1354
S  0.6365  0.7249  0.8646
S  0.6585  0.2014  0.9449
S  0.7249  0.6365  0.3646
S  0.7986  0.3415  0.5551

Computed properties:
Uncorrected formation energy = -1.140 eV per atom

(2)
# CsCeMnS4

A relaxed CsCeMnS4 crystal (PBE, Alexandria via LeMat-Bulk).

abc: 9.5438 9.5438 6.9931
angles: 90.00 90.00 141.36
Sites, in units of the cell vectors:
Cs  0.0808  0.9192  0.7500
Cs  0.9192  0.0808  0.2500
Ce  0.3397  0.6603  0.7500
Ce  0.6603  0.3397  0.2500
Mn  0.2292  0.7708  0.2500
Mn  0.7708  0.2292  0.7500
S  0.0000  0.5000  0.0000
S  0.0000  0.5000  0.5000
S  0.1099  0.8901  0.2500
S  0.4762  0.5238  0.7500
S  0.5000  0.0000  0.0000
S  0.5000  0.0000  0.5000
S  0.5238  0.4762  0.2500
S  0.8901  0.1099  0.7500

Computed properties:
Uncorrected formation energy = -1.043 eV per atom

(3)
# CsCeMnS3

A relaxed CsCeMnS3 crystal (PBE, Alexandria via LeMat-Bulk).

abc: 9.4442 4.1942 9.7909
angles: 90.00 109.62 90.00
Sites, in units of the cell vectors:
Cs  0.2089  0.2500  0.2414
Cs  0.7911  0.7500  0.7586
Ce  0.3285  0.7500  0.8473
Ce  0.6715  0.2500  0.1527
Mn  0.0836  0.2500  0.6013
Mn  0.9164  0.7500  0.3987
S  0.1297  0.2500  0.8525
S  0.1808  0.7500  0.5428
S  0.4709  0.7500  0.1492
S  0.5291  0.2500  0.8508
S  0.8192  0.2500  0.4572
S  0.8703  0.7500  0.1475

Computed properties:
Uncorrected formation energy = -1.392 eV per atom

(4)
# Cs3Ce2MnS6

A relaxed Cs3Ce2MnS6 crystal (PBE, Alexandria via LeMat-Bulk).

abc: 7.1468 7.1468 8.3544
angles: 98.19 98.19 119.98
Sites, in units of the cell vectors:
Cs  0.0000  0.0000  0.0000
Cs  0.3346  0.6654  0.0000
Cs  0.6654  0.3346  0.0000
Ce  0.1668  0.8332  0.5000
Ce  0.8332  0.1668  0.5000
Mn  0.5000  0.5000  0.5000
S  0.1165  0.4403  0.3210
S  0.2355  0.2355  0.6789
S  0.4403  0.1165  0.3210
S  0.5597  0.8835  0.6790
S  0.7645  0.7645  0.3211
S  0.8835  0.5597  0.6790

Computed properties:
Uncorrected formation energy = -1.431 eV per atom

Which of these has the lowest uncorrected formation energy? Cs3Ce2MnS6

Look up the uncorrected formation energy of the first one. -1.140 eV per atom

What is the uncorrected formation energy in the third record? -1.392 eV per atom